Material: K2HgF
Method: DFT, PBE-GGA
State: relaxed

Cell and atoms, written as POSCAR:
```
K2HgF
1.0
3.900 0.000 0.000
-1.950 3.377 0.000
0.000 0.000 26.824
K Hg F
6 3 3
direct
0.000 0.000 0.000 K
0.000 0.000 0.216 K
0.333 0.667 0.667 K
0.333 0.667 0.883 K
0.667 0.333 0.333 K
0.667 0.333 0.549 K
0.000 0.000 0.775 Hg
0.333 0.667 0.442 Hg
0.667 0.333 0.108 Hg
0.000 0.000 0.608 F
0.333 0.667 0.275 F
0.667 0.333 0.941 F
```

Output
**Volume**: 353.3 Å³ per cell
**SG**: R3m (160)
**E_form (uncorrected)**: -1.38 eV/atom
**Energy relative to the lowest polymorph listed for this composition**: 3 meV/atom